First-principles (PBE-GGA) data for an optimized crystal structure of Be2SbSe, as listed in Alexandria via LeMat-Bulk.

Cell lengths 4.5986, 5.1422, 4.0263 Å; angles 77.72, 71.40, 117.78 degrees
Last column: nearest neighbours and their distance in Å.
Fractional coordinates of all 4 atoms:
Be 0.0000 0.0000 0.0000  2 Se 2.53, 2 Sb 2.53
Be 0.0000 0.5000 0.5000  2 Sb 2.53, 2 Se 2.53
Sb 0.5000 0.5000 0.0000  4 Be 2.53
Se 0.5000 0.0000 0.5000  4 Be 2.53

Calculated values
The energy relative to the elements, uncorrected is 1.7 eV per formula unit. The value obtained for the total energy is -3.35 eV per atom. The energy above the most stable polymorph in this dataset is 0.665 eV/atom.